This record from the Alexandria database describes a relaxed PmCd6Hg crystal. The functional is PBE-GGA.

extended XYZ file:
```
8
Lattice="4.843 0.000 0.000 0.000 3.035 6.617 0.000 -3.035 6.617" Properties=species:S:1:pos:R:3 pbc="T T T"
Pm 0.000 0.000 0.000
Cd 0.000 -1.436 9.620
Cd 0.000 1.436 9.620
Cd 2.422 -1.590 4.905
Cd 2.422 0.000 2.175
Cd 2.422 0.000 7.829
Cd 2.422 1.590 4.905
Hg 0.000 0.000 5.761
```

Properties
- E_form: -125 meV/atom
- SG: Amm2, No. 38
- V: 195 Å³/cell
- DOS at the Fermi energy: 4.11 states/eV per cell